w.
The following is a GGA-PBEsol calculation of crystalline LiFeTc2 at its relaxed geometry, from Alexandria via LeMat-Bulk.

Values from the calculation:
Space group: R-3m

a b c (Å): 2.6206 2.6206 9.0339
angles (deg): 81.66 81.66 60.00
With the nearest neighbours (Å) after each atom.
Atoms (fractional coordinates):
Fe1 0.5000 0.5000 0.5000  6 Tc 2.54, 6 Fe 2.62
Li1 0.0000 0.0000 0.0000  6 Li 2.62, 6 Tc 2.85
Tc1 0.2430 0.2430 0.2710  3 Fe 2.54, 6 Tc 2.62
Tc2 0.7570 0.7570 0.7290  3 Fe 2.54, 6 Tc 2.62

=====

x.
The following is a GGA-PBEsol calculation of crystalline LiFeTc2 at its relaxed geometry, from Alexandria via LeMat-Bulk.

Values from the calculation:
Space group: Pmmm

a b c (Å): 2.5579 3.8287 4.9724
angles (deg): 90.00 90.00 90.00
With the nearest neighbours (Å) after each atom.
Atoms (fractional coordinates):
Fe1 0.5000 0.5000 0.0000  2 Li 2.49, 2 Fe 2.56, 8 Tc 2.62
Li1 0.5000 0.5000 0.5000  2 Fe 2.49, 2 Li 2.56, 8 Tc 2.61
Tc1 0.0000 0.0000 0.7478  4 Tc 2.46-2.56, 4 Li 2.61, 4 Fe 2.62
Tc2 0.0000 0.0000 0.2522  4 Tc 2.46-2.56, 4 Li 2.61, 4 Fe 2.62

=====

Stability, highest: w